Li2Er3In7: relaxed, GGA-PBE.

Summary:
The calculation puts the formation enthalpy at 0 K at -0.27 eV/atom. As for the crystal system: orthorhombic. The value obtained for the mass density is 7.7 g cm⁻³. The value obtained for the raw total energy is -40.0 eV/f.u.

abc: 4.2490 4.5794 14.8920
angles: 98.84 90.00 90.00
Closest atoms and distances in Å follow each position.
Element x y z (fractional)
Li 0.0000 0.8624 0.7248  5 In 2.50-2.75
Li 0.0000 0.1376 0.2752  5 In 2.50-2.75
Er 0.5000 0.5000 0.0000  12 In 3.12-3.33
Er 0.5000 0.6752 0.3504  4 Li 3.31, 10 In 3.38-3.68
Er 0.5000 0.3248 0.6496  4 Li 3.31, 10 In 3.38-3.68
In 0.0000 0.4142 0.8285  2 Li 2.75
In 0.0000 0.7774 0.5547  1 Li 2.50, 2 In 2.80
In 0.0000 0.0000 0.0000  4 Er 3.12, 8 In 3.22-3.41
In 0.0000 0.5858 0.1715  2 Li 2.75
In 0.5000 0.0823 0.1645  2 Li 2.68
In 0.5000 0.9177 0.8355  2 Li 2.68
In 0.0000 0.2226 0.4453  1 Li 2.50, 2 In 2.80